# YHoGaRh

YHoGaRh after structural relaxation (PBE, Alexandria via LeMat-Bulk).

```
YHoGaRh
1.0
0.0000 3.5064 3.5064
3.5064 0.0000 3.5064
3.5064 3.5064 0.0000
Y Ho Ga Rh
1 1 1 1
Cartesian
0.0000 0.0000 0.0000 Y
3.5064 3.5064 3.5064 Ho
5.2597 5.2597 5.2597 Ga
1.7532 1.7532 1.7532 Rh
```

**Space-group type**: F-43m, No. 216


# NaCr3Pt

NaCr3Pt after structural relaxation (PBE, Alexandria via LeMat-Bulk).

```
NaCr3Pt
1.0
5.0018 0.0000 0.0000
0.0000 5.0018 0.0000
0.0000 0.0000 5.0018
Na Cr Pt
1 3 1
Cartesian
0.0000 0.0000 0.0000 Na
0.0000 2.5009 2.5009 Cr
2.5009 0.0000 2.5009 Cr
2.5009 2.5009 0.0000 Cr
2.5009 2.5009 2.5009 Pt
```

**Space-group type**: Pm-3m, No. 221


no.,E_form (meV per atom),polymorph energy (0 for the lowest one) (eV/atom),DFT total energy (eV/cell)
1,-691,0.0565,-24.18
2,977,0.0000,-31.34